(1)
This record from the Alexandria database describes a relaxed YHgPd2Cl crystal. The functional is PBE.

Uncorrected formation energy   -0.9 eV per formula unit
Magnetization   0.0 μB/f.u.
V   110.8 Å³ per cell
SG   P4/mmm (123)

abc: 4.674 5.072 4.674
angles: 90.00 90.00 90.00
Element x y z (fractional)
Y 0.000 0.500 0.000
Hg 0.500 0.500 0.500
Pd 0.000 0.000 0.500
Pd 0.500 0.000 0.000
Cl 0.000 0.000 0.000

(2)
This record from the Alexandria database describes a relaxed Pm2HgCl crystal. The functional is PBE.

Uncorrected formation energy   -3.5 eV per formula unit
Magnetization   0.0 μB/f.u.
V   108.5 Å³ per cell
E above lowest polymorph   0.008 eV/atom
SG   R3m (160)

abc: 3.704 3.704 9.377
angles: 78.61 78.61 60.00
Element x y z (fractional)
Pm 0.087 0.087 0.739
Pm 0.246 0.246 0.261
Hg 0.667 0.667 0.000
Cl 0.500 0.500 0.500

(3)
This record from the Alexandria database describes a relaxed Pm2HgCl crystal. The functional is PBE.

Uncorrected formation energy   -3.6 eV per formula unit
Magnetization   0.0 μB/f.u.
V   109.5 Å³ per cell
E above lowest polymorph   0.000 eV/atom
SG   R-3m (166)

abc: 4.224 4.224 7.492
angles: 73.63 73.63 60.00
Element x y z (fractional)
Cl 0.000 0.000 0.000
Hg 0.500 0.500 0.500
Pm 0.257 0.257 0.229
Pm 0.743 0.743 0.771

(4)
This record from the Alexandria database describes a relaxed PmHgCl2 crystal. The functional is PBE.

Uncorrected formation energy   -5.8 eV per formula unit
Magnetization   0.0 μB/f.u.
V   145.2 Å³ per cell
SG   R-3m (166)

abc: 3.830 3.830 11.642
angles: 80.53 80.53 60.00
Element x y z (fractional)
Cl 0.116 0.116 0.653
Cl 0.884 0.884 0.347
Hg 0.000 0.000 0.000
Pm 0.500 0.500 0.500

(5)
This record from the Alexandria database describes a relaxed Pm2HgCl8 crystal. The functional is PBE.

Uncorrected formation energy   -19.6 eV per formula unit
Magnetization   0.0 μB/f.u.
V   340.1 Å³ per cell
SG   C2/m (12)

abc: 7.255 6.964 6.964
angles: 76.52 85.02 85.02
Element x y z (fractional)
Pm 0.457 0.311 0.311
Pm 0.543 0.689 0.689
Hg 0.000 0.000 0.000
Cl 0.339 0.665 0.051
Cl 0.661 0.949 0.335
Cl 0.115 0.193 0.193
Cl 0.885 0.807 0.807
Cl 0.339 0.051 0.665
Cl 0.661 0.335 0.949
Cl 0.738 0.451 0.451
Cl 0.262 0.549 0.549

(6)
This record from the Alexandria database describes a relaxed PmHg2Cl8 crystal. The functional is PBE.

Uncorrected formation energy   -11.1 eV per formula unit
Magnetization   1.0 μB/f.u.
V   375.9 Å³ per cell
SG   C2/m (12)

abc: 6.641 8.121 8.121
angles: 61.98 78.42 78.42
Last column: magnetic moment on the atom in μB.
Element x y z (fractional)
Pm 0.000 0.000 0.000  0.00
Hg 0.708 0.792 0.792  0.03
Hg 0.292 0.208 0.208  0.03
Cl 0.210 0.307 0.875  0.07
Cl 0.790 0.125 0.693  0.07
Cl 0.300 0.829 0.829  0.03
Cl 0.700 0.171 0.171  0.03
Cl 0.210 0.875 0.307  0.07
Cl 0.790 0.693 0.125  0.07
Cl 0.812 0.616 0.616  0.20
Cl 0.188 0.384 0.384  0.20

(7)
This record from the Alexandria database describes a relaxed Pm2HgCl crystal. The functional is PBE.

Uncorrected formation energy   -3.2 eV per formula unit
Magnetization   0.0 μB/f.u.
V   101.9 Å³ per cell
E above lowest polymorph   0.076 eV/atom
SG   P4/mmm (123)

abc: 3.484 3.484 8.396
angles: 90.00 90.00 90.00
Element x y z (fractional)
Cl 0.500 0.500 0.000
Hg 0.500 0.500 0.500
Pm 0.000 0.000 0.749
Pm 0.000 0.000 0.251

(8)
This record from the Alexandria database describes a relaxed PmHgCl crystal. The functional is PBE.

Uncorrected formation energy   -3.3 eV per formula unit
Magnetization   0.0 μB/f.u.
V   364.1 Å³ per cell
SG   Aem2 (39)

abc: 6.814 4.538 11.776
angles: 90.00 90.00 90.00
Element x y z (fractional)
Pm 0.913 0.000 0.231
Pm 0.413 0.000 0.769
Pm 0.913 0.500 0.769
Pm 0.413 0.500 0.231
Cl 0.262 0.000 0.363
Cl 0.762 0.000 0.637
Cl 0.262 0.500 0.637
Cl 0.762 0.500 0.363
Hg 0.055 0.500 0.073
Hg 0.555 0.500 0.927
Hg 0.055 0.000 0.927
Hg 0.555 0.000 0.073

(9)
This record from the Alexandria database describes a relaxed RbPmHg2Cl8 crystal. The functional is PBE.

Uncorrected formation energy   -16.3 eV per formula unit
Magnetization   0.0 μB/f.u.
V   411.1 Å³ per cell
SG   P-1 (2)

abc: 6.822 6.893 9.327
angles: 72.14 80.18 85.20
Element x y z (fractional)
Rb 0.000 0.000 0.500
Pm 0.000 0.000 0.000
Hg 0.474 0.470 0.729
Hg 0.526 0.530 0.271
Cl 0.138 0.737 0.247
Cl 0.667 0.760 0.032
Cl 0.806 0.202 0.189
Cl 0.862 0.263 0.753
Cl 0.333 0.240 0.968
Cl 0.194 0.798 0.811
Cl 0.596 0.732 0.504
Cl 0.404 0.268 0.496

(10)
This record from the Alexandria database describes a relaxed RbPmHgCl6 crystal. The functional is PBE.

Uncorrected formation energy   -14.9 eV per formula unit
Magnetization   0.0 μB/f.u.
V   635.5 Å³ per cell
SG   P-31c (163)

abc: 7.127 7.127 14.447
angles: 90.00 90.00 120.00
Element x y z (fractional)
Rb 0.000 0.000 0.000
Rb 0.000 0.000 0.500
Pm 0.667 0.333 0.250
Pm 0.333 0.667 0.750
Hg 0.333 0.667 0.250
Hg 0.667 0.333 0.750
Cl 0.623 0.624 0.141
Cl 0.001 0.377 0.141
Cl 0.377 0.001 0.641
Cl 0.999 0.623 0.859
Cl 0.376 0.377 0.359
Cl 0.001 0.624 0.359
Cl 0.624 0.001 0.859
Cl 0.623 0.999 0.359
Cl 0.999 0.376 0.641
Cl 0.376 0.999 0.141
Cl 0.624 0.623 0.641
Cl 0.377 0.376 0.859

(11)
This record from the Alexandria database describes a relaxed PmTlHg2Cl8 crystal. The functional is PBE.

Uncorrected formation energy   -14.3 eV per formula unit
Magnetization   0.0 μB/f.u.
V   402.3 Å³ per cell
SG   P-1 (2)

abc: 6.873 6.760 9.069
angles: 74.79 81.68 87.31
Element x y z (fractional)
Pm 0.000 0.000 0.000
Tl 0.000 0.000 0.500
Hg 0.478 0.468 0.731
Hg 0.522 0.532 0.269
Cl 0.141 0.744 0.246
Cl 0.660 0.760 0.030
Cl 0.822 0.214 0.193
Cl 0.859 0.256 0.754
Cl 0.340 0.240 0.970
Cl 0.178 0.786 0.807
Cl 0.606 0.731 0.511
Cl 0.394 0.269 0.489

(12)
This record from the Alexandria database describes a relaxed Pr2HgCl crystal. The functional is PBE.

Uncorrected formation energy   -3.6 eV per formula unit
Magnetization   0.0 μB/f.u.
V   114.9 Å³ per cell
E above lowest polymorph   0.000 eV/atom
SG   R-3m (166)

abc: 4.307 4.307 7.570
angles: 73.47 73.47 60.00
Element x y z (fractional)
Pr 0.257 0.257 0.230
Pr 0.743 0.743 0.770
Hg 0.500 0.500 0.500
Cl 0.000 0.000 0.000

(13)
This record from the Alexandria database describes a relaxed PrHg2Cl8 crystal. The functional is PBE.

Uncorrected formation energy   -11.1 eV per formula unit
Magnetization   0.9 μB/f.u.
V   357.8 Å³ per cell
SG   C2/m (12)

abc: 7.178 8.013 8.013
angles: 52.17 99.47 99.47
Last column: magnetic moment on the atom in μB.
Element x y z (fractional)
Pr 0.000 0.000 0.000  0.00
Hg 0.738 0.218 0.218  0.01
Hg 0.262 0.782 0.782  0.01
Cl 0.150 0.139 0.627  0.02
Cl 0.150 0.627 0.139  0.02
Cl 0.850 0.861 0.373  0.02
Cl 0.340 0.629 0.629  0.18
Cl 0.850 0.373 0.861  0.02
Cl 0.339 0.126 0.126  0.14
Cl 0.661 0.874 0.874  0.14
Cl 0.660 0.371 0.371  0.18

(14)
This record from the Alexandria database describes a relaxed Pr2HgCl crystal. The functional is PBE.

Uncorrected formation energy   -3.4 eV per formula unit
Magnetization   0.0 μB/f.u.
V   105.9 Å³ per cell
E above lowest polymorph   0.062 eV/atom
SG   P4/mmm (123)

abc: 3.531 3.531 8.499
angles: 90.00 90.00 90.00
Element x y z (fractional)
Pr 0.000 0.000 0.751
Pr 0.000 0.000 0.249
Hg 0.500 0.500 0.500
Cl 0.500 0.500 0.000

(15)
This record from the Alexandria database describes a relaxed Pr3HgCl crystal. The functional is PBE.

Uncorrected formation energy   -3.8 eV per formula unit
Magnetization   0.0 μB/f.u.
V   601.2 Å³ per cell
SG   Pnma (62)

abc: 4.088 9.553 15.395
angles: 90.00 90.00 90.00
Element x y z (fractional)
Pr 0.250 0.344 0.535
Pr 0.750 0.834 0.212
Pr 0.750 0.516 0.896
Pr 0.750 0.016 0.604
Pr 0.750 0.656 0.465
Pr 0.250 0.984 0.396
Pr 0.250 0.844 0.965
Pr 0.750 0.334 0.288
Pr 0.250 0.666 0.712
Pr 0.250 0.166 0.788
Pr 0.750 0.156 0.035
Pr 0.250 0.484 0.104
Hg 0.750 0.895 0.807
Hg 0.250 0.105 0.193
Hg 0.750 0.395 0.693
Hg 0.250 0.605 0.307
Cl 0.250 0.316 0.946
Cl 0.250 0.816 0.554
Cl 0.750 0.184 0.446
Cl 0.750 0.684 0.054

(16)
This record from the Alexandria database describes a relaxed Pr6HgCl8 crystal. The functional is PBE.

Uncorrected formation energy   -24.3 eV per formula unit
Magnetization   0.0 μB/f.u.
V   454.6 Å³ per cell
SG   R-3 (148)

abc: 7.067 7.067 11.276
angles: 71.74 71.74 60.00
Element x y z (fractional)
Pr 0.944 0.600 0.170
Pr 0.715 0.056 0.830
Pr 0.400 0.715 0.830
Pr 0.600 0.285 0.170
Pr 0.285 0.944 0.170
Pr 0.056 0.400 0.830
Hg 0.000 0.000 0.000
Cl 0.790 0.431 0.668
Cl 0.888 0.210 0.332
Cl 0.569 0.888 0.332
Cl 0.334 0.334 0.999
Cl 0.666 0.666 0.001
Cl 0.431 0.112 0.668
Cl 0.112 0.790 0.668
Cl 0.210 0.569 0.332

(17)
This record from the Alexandria database describes a relaxed Pr2HgCl crystal. The functional is PBE.

Uncorrected formation energy   -3.6 eV per formula unit
Magnetization   0.0 μB/f.u.
V   113.6 Å³ per cell
E above lowest polymorph   0.014 eV/atom
SG   R3m (160)

abc: 3.767 3.767 9.495
angles: 78.56 78.56 60.00
Element x y z (fractional)
Pr 0.087 0.087 0.740
Pr 0.247 0.247 0.260
Hg 0.667 0.667 0.000
Cl 0.500 0.500 0.500

(18)
This record from the Alexandria database describes a relaxed PrHgCl3 crystal. The functional is PBE.

Uncorrected formation energy   -8.6 eV per formula unit
Magnetization   0.0 μB/f.u.
V   172.4 Å³ per cell
SG   Pm-3m (221)

abc: 5.566 5.566 5.566
angles: 90.00 90.00 90.00
Element x y z (fractional)
Pr 0.000 0.000 0.000
Hg 0.500 0.500 0.500
Cl 0.000 0.500 0.000
Cl 0.000 0.000 0.500
Cl 0.500 0.000 0.000

(19)
This record from the Alexandria database describes a relaxed Pr4HgCl5 crystal. The functional is PBE.

Uncorrected formation energy   -15.6 eV per formula unit
Magnetization   0.0 μB/f.u.
V   321.1 Å³ per cell
SG   C2/m (12)

abc: 4.050 8.888 9.335
angles: 101.49 102.53 90.00
Element x y z (fractional)
Pr 0.669 0.074 0.338
Pr 0.004 0.253 0.008
Pr 0.331 0.926 0.662
Pr 0.996 0.747 0.992
Hg 0.500 0.000 0.000
Cl 0.167 0.308 0.333
Cl 0.165 0.830 0.331
Cl 0.835 0.170 0.669
Cl 0.500 0.500 0.000
Cl 0.833 0.692 0.667

(20)
This record from the Alexandria database describes a relaxed RbPrHgCl6 crystal. The functional is PBE.

Uncorrected formation energy   -14.8 eV per formula unit
Magnetization   0.0 μB/f.u.
V   644.3 Å³ per cell
SG   P-31c (163)

abc: 7.179 7.179 14.435
angles: 90.00 90.00 120.00
Element x y z (fractional)
Rb 0.000 0.000 0.000
Rb 0.000 0.000 0.500
Pr 0.333 0.667 0.250
Pr 0.667 0.333 0.750
Hg 0.667 0.333 0.250
Hg 0.333 0.667 0.750
Cl 0.627 0.621 0.140
Cl 0.994 0.373 0.140
Cl 0.373 0.994 0.640
Cl 0.006 0.627 0.860
Cl 0.379 0.373 0.360
Cl 0.994 0.621 0.360
Cl 0.621 0.994 0.860
Cl 0.627 0.006 0.360
Cl 0.006 0.379 0.640
Cl 0.379 0.006 0.140
Cl 0.621 0.627 0.640
Cl 0.373 0.379 0.860

(21)
This record from the Alexandria database describes a relaxed RbPrHg2Cl8 crystal. The functional is PBE.

Uncorrected formation energy   -16.2 eV per formula unit
Magnetization   0.0 μB/f.u.
V   416.9 Å³ per cell
SG   P-1 (2)

abc: 6.857 6.901 9.382
angles: 72.44 80.19 85.29
Element x y z (fractional)
Rb 0.000 0.000 0.500
Pr 0.000 0.000 0.000
Hg 0.476 0.472 0.727
Hg 0.524 0.528 0.273
Cl 0.139 0.735 0.249
Cl 0.660 0.759 0.035
Cl 0.810 0.208 0.191
Cl 0.861 0.265 0.751
Cl 0.340 0.241 0.965
Cl 0.190 0.792 0.809
Cl 0.596 0.732 0.503
Cl 0.404 0.268 0.497

(22)
This record from the Alexandria database describes a relaxed Pr3HgSCl crystal. The functional is PBE.

Uncorrected formation energy   -7.5 eV per formula unit
Magnetization   0.0 μB/f.u.
V   345.3 Å³ per cell
SG   P2_1/m (11)

abc: 4.137 8.004 11.405
angles: 113.89 90.00 90.00
Element x y z (fractional)
Pr 0.750 0.950 0.132
Pr 0.250 0.050 0.868
Pr 0.250 0.717 0.507
Pr 0.750 0.283 0.493
Pr 0.750 0.480 0.156
Pr 0.250 0.520 0.844
Hg 0.250 0.286 0.280
Hg 0.750 0.714 0.720
S 0.250 0.698 0.113
S 0.750 0.302 0.887
Cl 0.250 0.148 0.620
Cl 0.750 0.852 0.380

Number 1: DFT total energy -3.985 eV/atom. Number 2: DFT total energy -3.793 eV/atom. Number 3: DFT total energy -3.800 eV/atom. Number 4: DFT total energy -3.631 eV/atom. Number 5: DFT total energy -4.020 eV/atom. Number 6: DFT total energy -2.838 eV/atom. Number 7: DFT total energy -3.724 eV/atom. Number 8: DFT total energy -3.404 eV/atom. Number 9: DFT total energy -3.115 eV/atom. Number 10: DFT total energy -3.554 eV/atom. Number 11: DFT total energy -3.068 eV/atom. Number 12: DFT total energy -3.836 eV/atom. Number 13: DFT total energy -2.839 eV/atom. Number 14: DFT total energy -3.775 eV/atom. Number 15: DFT total energy -4.053 eV/atom. Number 16: DFT total energy -4.539 eV/atom. Number 17: DFT total energy -3.822 eV/atom. Number 18: DFT total energy -3.849 eV/atom. Number 19: DFT total energy -4.427 eV/atom. Number 20: DFT total energy -3.549 eV/atom. Number 21: DFT total energy -3.113 eV/atom. Number 22: DFT total energy -4.687 eV/atom.